DyErHg5, relaxed, DFT PBE-GGA; calculated volume = 182.58 Å³ per cell; VASP energy = -12.43 eV/f.u.; size of the total moment = 0.00 μB/f.u.; SG = P4/mmm; E_form = -0.25 eV/atom
1.0
4.581 0.000 0.000
0.000 4.581 0.000
0.000 0.000 8.700
Dy Er Hg
1 1 5
Direct
0.000 0.000 0.000
0.500 0.500 0.500
0.000 0.000 0.500
0.000 0.500 0.239
0.000 0.500 0.761
0.500 0.000 0.239
0.500 0.000 0.761